Entry 1:
# AlTePbN2 PBE optimized geometry
data_AlTePbN2
_chemical_formula_sum 'Al1 Te1 Pb1 N2'
_symmetry_space_group_name_H-M 'P 4/m m m'
_symmetry_Int_Tables_number 123
_symmetry_space_group_name_Hall '-P 4 2'
_cell_length_a 4.1894
_cell_length_b 4.1894
_cell_length_c 5.6253
_cell_angle_alpha 90.00
_cell_angle_beta 90.00
_cell_angle_gamma 90.00
loop_
_atom_site_label
_atom_site_type_symbol
_atom_site_fract_x
_atom_site_fract_y
_atom_site_fract_z
Al1 Al 0.0000 0.0000 0.0000
Te1 Te 0.0000 0.0000 0.5000
Pb1 Pb 0.5000 0.5000 0.5000
N1 N 0.0000 0.5000 0.0000
# Total energy   -23.08 eV for the cell shown
# Formation energy from raw total energies   832.8 meV per atom

***

Entry 2:
# NaTe3As PBE optimized geometry
data_NaTe3As
_chemical_formula_sum 'Na2 Te6 As2'
_symmetry_space_group_name_H-M 'P 1 21/m 1'
_symmetry_Int_Tables_number 11
_cell_length_a 8.4934
_cell_length_b 4.1378
_cell_length_c 9.4875
_cell_angle_alpha 90.00
_cell_angle_beta 91.37
_cell_angle_gamma 90.00
loop_
_symmetry_equiv_pos_as_xyz
'x,y,z'
'-x,-y,-z'
'-x,y+1/2,-z'
'x,-y+1/2,z'
loop_
_atom_site_label
_atom_site_type_symbol
_atom_site_fract_x
_atom_site_fract_y
_atom_site_fract_z
Na1 Na 0.2434 0.2500 0.1049
Te1 Te 0.0346 0.7500 0.3019
Te2 Te 0.3657 0.7500 0.8778
Te3 Te 0.4692 0.2500 0.6083
As1 As 0.1731 0.7500 0.6537
# Total energy   -32.75 eV for the cell shown
# Formation energy from raw total energies   -196.2 meV per atom

***

Entry 3:
# La2Nd4Sb3H2 PBE optimized geometry
data_La2Nd4Sb3H2
_chemical_formula_sum 'La4 Nd8 Sb6 H4'
_symmetry_space_group_name_H-M 'I 4/m m m'
_symmetry_Int_Tables_number 139
_symmetry_space_group_name_Hall '-I 4 2'
_cell_length_a 4.8336
_cell_length_b 4.8336
_cell_length_c 25.7683
_cell_angle_alpha 90.00
_cell_angle_beta 90.00
_cell_angle_gamma 90.00
loop_
_atom_site_label
_atom_site_type_symbol
_atom_site_fract_x
_atom_site_fract_y
_atom_site_fract_z
La1 La 0.0000 0.0000 0.1989
Nd1 Nd 0.0000 0.5000 0.0814
Sb1 Sb 0.0000 0.0000 0.3275
Sb2 Sb 0.0000 0.0000 0.5000
H1 H 0.0000 0.0000 0.1013
# Total energy   -113.56 eV for the cell shown

***

Entry 4:
# YSiGeP2 PBE optimized geometry
data_YSiGeP2
_chemical_formula_sum 'Y1 Si1 Ge1 P2'
_symmetry_space_group_name_H-M 'P 4/m m m'
_symmetry_Int_Tables_number 123
_symmetry_space_group_name_Hall '-P 4 2'
_cell_length_a 5.2026
_cell_length_b 5.2026
_cell_length_c 5.3031
_cell_angle_alpha 90.00
_cell_angle_beta 90.00
_cell_angle_gamma 90.00
loop_
_atom_site_label
_atom_site_type_symbol
_atom_site_fract_x
_atom_site_fract_y
_atom_site_fract_z
Y1 Y 0.0000 0.0000 0.0000
Si1 Si 0.0000 0.0000 0.5000
Ge1 Ge 0.5000 0.5000 0.5000
P1 P 0.0000 0.5000 0.0000
# Total energy   -22.69 eV for the cell shown
# Formation energy from raw total energies   927.8 meV per atom

***

Entry 5:
# GePN PBE optimized geometry
data_GePN
_chemical_formula_sum 'Ge2 P2 N2'
_symmetry_space_group_name_H-M 'C 1 m 1'
_symmetry_Int_Tables_number 8
_cell_length_a 5.3954
_cell_length_b 3.1274
_cell_length_c 6.5521
_cell_angle_alpha 90.00
_cell_angle_beta 107.44
_cell_angle_gamma 90.00
loop_
_symmetry_equiv_pos_as_xyz
'x,y,z'
'x,-y,z'
'x+1/2,y+1/2,z'
'x+1/2,-y+1/2,z'
loop_
_atom_site_label
_atom_site_type_symbol
_atom_site_fract_x
_atom_site_fract_y
_atom_site_fract_z
Ge1 Ge 0.0000 0.0000 0.0000
P1 P 0.1983 0.0000 0.5351
N1 N 0.1089 0.0000 0.2894
# Total energy   -34.00 eV for the cell shown
# Formation energy from raw total energies   450.4 meV per atom

***

Entry 6:
# LaTmSn PBE optimized geometry
data_LaTmSn
_chemical_formula_sum 'La2 Tm2 Sn2'
_symmetry_space_group_name_H-M 'P 1 21/m 1'
_symmetry_Int_Tables_number 11
_cell_length_a 4.4210
_cell_length_b 4.8945
_cell_length_c 8.5218
_cell_angle_alpha 90.00
_cell_angle_beta 104.88
_cell_angle_gamma 90.00
loop_
_symmetry_equiv_pos_as_xyz
'x,y,z'
'-x,-y,-z'
'-x,y+1/2,-z'
'x,-y+1/2,z'
loop_
_atom_site_label
_atom_site_type_symbol
_atom_site_fract_x
_atom_site_fract_y
_atom_site_fract_z
La1 La 0.0734 0.2500 0.1433
Tm1 Tm 0.2540 0.7500 0.5080
Sn1 Sn 0.3861 0.2500 0.7742
# Total energy   -30.33 eV for the cell shown
# Formation enthalpy at 0 K   -0.587 eV/atom

***

Entry 7:
# Ag7PtAu12 PBE optimized geometry
data_Ag7PtAu12
_chemical_formula_sum 'Ag21 Pt3 Au36'
_symmetry_space_group_name_H-M 'R -3'
_symmetry_Int_Tables_number 148
_symmetry_space_group_name_Hall '-R 3'
_cell_length_a 12.3371
_cell_length_b 12.3371
_cell_length_c 8.4213
_cell_angle_alpha 90.00
_cell_angle_beta 90.00
_cell_angle_gamma 120.00
loop_
_atom_site_label
_atom_site_type_symbol
_atom_site_fract_x
_atom_site_fract_y
_atom_site_fract_z
Ag1 Ag 0.0000 0.0000 0.0000
Ag2 Ag 0.0616 0.2448 0.4179
Pt1 Pt 0.0000 0.0000 0.5000
Au1 Au 0.0527 0.2085 0.7470
Au2 Au 0.0530 0.2427 0.0771
# Total energy   -192.38 eV for the cell shown
# Formation enthalpy at 0 K   0.060 eV/atom